Record 1
Here is an optimized crystal structure of Ho5CuSe4 from the Alexandria database. Energies are from PBE.

Cell: 7.1261 7.1261 10.0598 Å, 118.84 118.84 32.43°
Closest atoms and distances in Å follow each position.
Fractional coordinates of all 10 atoms:
Ho: 0.0000 0.0000 0.0000  6 Se 2.86
Ho: 0.1915 0.1915 0.7856  1 Cu 2.75, 5 Se 2.90-2.92
Ho: 0.4068 0.4068 0.5953  2 Cu 2.78, 4 Se 2.92-2.97
Ho: 0.5932 0.5932 0.4047  2 Cu 2.78, 4 Se 2.92-2.97
Ho: 0.8085 0.8085 0.2144  1 Cu 2.75, 5 Se 2.90-2.92
Cu: 0.0000 0.0000 0.5000  6 Ho 2.75-2.78
Se: 0.1957 0.1957 0.3001  6 Ho 2.86-2.92
Se: 0.3940 0.3940 0.0892  6 Ho 2.86-2.97
Se: 0.6060 0.6060 0.9108  6 Ho 2.86-2.97
Se: 0.8043 0.8043 0.6999  6 Ho 2.86-2.92

## Properties
Energy relative to the elements, uncorrected   -1395.8 kJ/mol of formula units
Space group   C2/m, No. 12

***

Record 2
Here is an optimized crystal structure of BeFe2As from the Alexandria database. Energies are from PBE.

Cell: 2.8110 2.8277 5.3238 Å, 90.00 90.00 90.00°
Closest atoms and distances in Å follow each position.
Fractional coordinates of all 4 atoms:
Be: 0.0000 0.0000 0.0000  8 Fe 2.37
Fe: 0.5000 0.5000 0.2400  4 Be 2.37, 4 As 2.43, 1 Fe 2.56
Fe: 0.5000 0.5000 0.7600  4 Be 2.37, 4 As 2.43, 1 Fe 2.56
As: 0.0000 0.0000 0.5000  8 Fe 2.43, 2 Be 2.66

## Properties
E_form   0.02 eV/atom
Space group   Pmmm, No. 47
ΔE to the lowest computed polymorph   0.137 eV/atom

***

Record 3
Here is an optimized crystal structure of FePt2Pb from the Alexandria database. Energies are from PBE.

Cell: 4.5960 4.5960 4.5960 Å, 60.00 60.00 60.00°
Closest atoms and distances in Å follow each position.
Fractional coordinates of all 4 atoms:
Fe: 0.0000 0.0000 0.0000  4 Pt 2.81, 4 Pb 2.81
Pt: 0.5000 0.5000 0.5000  4 Pb 2.81, 4 Pt 2.81
Pt: 0.7500 0.7500 0.7500  4 Pt 2.81, 4 Fe 2.81
Pb: 0.2500 0.2500 0.2500  4 Fe 2.81, 4 Pt 2.81

## Properties
E_form   0.14 eV/atom
Space group   F-43m, No. 216

***

Record 4
Here is an optimized crystal structure of V3NiSn from the Alexandria database. Energies are from PBE.

Cell: 4.3837 4.3837 4.3837 Å, 90.00 90.00 90.00°
Closest atoms and distances in Å follow each position.
Fractional coordinates of all 5 atoms:
V: 0.0000 0.0000 0.5000  2 Ni 2.19
V: 0.0000 0.5000 0.0000  2 Ni 2.19
V: 0.5000 0.0000 0.0000  2 Ni 2.19
Ni: 0.0000 0.0000 0.0000  6 V 2.19
Sn: 0.5000 0.5000 0.5000  12 V 3.10

## Properties
E_form   0.58 eV/atom
Space group   Pm-3m, No. 221
ΔE to the lowest computed polymorph   0.000 eV/atom

***

Record 5
Here is an optimized crystal structure of CsMg2BSe from the Alexandria database. Energies are from PBE.

Cell: 4.7546 4.7546 5.7060 Å, 90.00 90.00 90.00°
Closest atoms and distances in Å follow each position.
Fractional coordinates of all 5 atoms:
Cs: 0.0000 0.0000 0.0000  4 Se 3.36, 8 Mg 3.71
Mg: 0.0000 0.5000 0.5000  2 B 2.38
Mg: 0.5000 0.0000 0.5000  2 B 2.38
B: 0.5000 0.5000 0.5000  4 Mg 2.38
Se: 0.5000 0.5000 0.0000  2 B 2.85

## Properties
Energy relative to the elements, uncorrected   108.5 kJ/mol of formula units
Space group   P4/mmm, No. 123

***

Record 6
Here is an optimized crystal structure of K5As2S6 from the Alexandria database. Energies are from PBE.

Cell: 12.6438 13.6229 4.6684 Å, 90.00 90.00 90.00°
Closest atoms and distances in Å follow each position.
Fractional coordinates of all 26 atoms:
K: 0.0000 0.0000 0.0000  4 S 3.32, 2 K 3.67
K: 0.0351 0.2673 0.0000  6 S 3.18-3.36
K: 0.2051 0.5152 0.0000  5 S 3.13-3.36
K: 0.2949 0.0152 0.0000  5 S 3.13-3.36
K: 0.4649 0.7673 0.0000  6 S 3.18-3.36
K: 0.5000 0.5000 0.0000  4 S 3.32, 2 K 3.67
K: 0.5351 0.2327 0.0000  6 S 3.18-3.36
K: 0.7051 0.9848 0.0000  5 S 3.13-3.36
K: 0.7949 0.4848 0.0000  5 S 3.13-3.36
K: 0.9649 0.7327 0.0000  6 S 3.18-3.36
As: 0.2170 0.7188 0.5000  2 S 2.23-2.30
As: 0.2830 0.2188 0.5000  2 S 2.23-2.30
As: 0.7170 0.7812 0.5000  2 S 2.23-2.30
As: 0.7830 0.2812 0.5000  2 S 2.23-2.30
S: 0.0802 0.6151 0.5000  1 As 2.23
S: 0.1380 0.1172 0.5000  1 As 2.30
S: 0.2141 0.7858 0.0000  2 As 2.51
S: 0.2859 0.2858 0.0000  2 As 2.51
S: 0.3620 0.6172 0.5000  1 As 2.30
S: 0.4198 0.1151 0.5000  1 As 2.23
S: 0.5802 0.8849 0.5000  1 As 2.23
S: 0.6380 0.3828 0.5000  1 As 2.30
S: 0.7141 0.7142 0.0000  2 As 2.51
S: 0.7859 0.2142 0.0000  2 As 2.51
S: 0.8620 0.8828 0.5000  1 As 2.30
S: 0.9198 0.3849 0.5000  1 As 2.23

## Properties
Energy relative to the elements, uncorrected   -1039.7 kJ/mol of formula units
Space group   Pbam, No. 55

***

Record 7
Here is an optimized crystal structure of LaMg2Co9 from the Alexandria database. Energies are from PBE.

Cell: 8.4004 8.4004 8.4004 Å, 34.18 34.18 34.18°
Closest atoms and distances in Å follow each position.
Fractional coordinates of all 12 atoms:
La: 0.0000 0.0000 0.0000  6 Co 2.85
Mg: 0.1442 0.1442 0.1442  12 Co 2.82-2.90, 3 Mg 3.04
Mg: 0.8558 0.8558 0.8558  12 Co 2.82-2.90, 3 Mg 3.04
Co: 0.0777 0.5900 0.5900  7 Co 2.41-2.53
Co: 0.3364 0.3364 0.3364  6 Co 2.45-2.53
Co: 0.4100 0.4100 0.9223  7 Co 2.41-2.53
Co: 0.4100 0.9223 0.4100  7 Co 2.41-2.53
Co: 0.5000 0.5000 0.5000  6 Co 2.41
Co: 0.5900 0.0777 0.5900  7 Co 2.41-2.53
Co: 0.5900 0.5900 0.0777  7 Co 2.41-2.53
Co: 0.6636 0.6636 0.6636  6 Co 2.45-2.53
Co: 0.9223 0.4100 0.4100  7 Co 2.41-2.53

## Properties
E_form   -0.03 eV/atom
Space group   R-3m, No. 166

***

Record 8
Here is an optimized crystal structure of LaCd2Ga from the Alexandria database. Energies are from PBE.

Cell: 4.7517 7.4091 6.0210 Å, 90.00 113.13 90.00°
Closest atoms and distances in Å follow each position.
Fractional coordinates of all 8 atoms:
La: 0.0902 0.2500 0.1788  3 Ga 3.27-3.28, 8 Cd 3.30-3.66
La: 0.9098 0.7500 0.8212  3 Ga 3.27-3.28, 8 Cd 3.30-3.66
Cd: 0.3736 0.0541 0.7481  2 Cd 2.90, 3 Ga 2.92
Cd: 0.3736 0.4459 0.7481  2 Cd 2.90, 3 Ga 2.92
Cd: 0.6264 0.5541 0.2519  2 Cd 2.90, 3 Ga 2.92
Cd: 0.6264 0.9459 0.2519  2 Cd 2.90, 3 Ga 2.92
Ga: 0.2061 0.7500 0.4122  6 Cd 2.92
Ga: 0.7939 0.2500 0.5878  6 Cd 2.92

## Properties
E_form   -0.41 eV/atom
Space group   P2_1/m, No. 11